Entry from the Alexandria database: a relaxed Cs2AsWO6 crystal (GGA+U).

Summary:
Space-group type: No. 139
Calculated density (g cm⁻³): 5.71
Final energy (eV per cell): -58.1

Cell lengths 5.504, 5.504, 7.114 Å; angles 67.24, 67.24, 90.00 degrees
Positions (direct):
1 O 0.741 0.259 0.000
2 O 0.843 0.843 0.314
3 O 0.157 0.157 0.686
4 O 0.259 0.259 0.000
5 O 0.741 0.741 0.000
6 O 0.259 0.741 0.000
7 Cs 0.250 0.750 0.500
8 Cs 0.750 0.250 0.500
9 As 0.500 0.500 0.000
10 W 0.000 0.000 0.000